Material: NbReSn
Method: DFT, PBE-GGA
State: optimized geometry

For the electronic total energy, the calculation gives -8.500 eV per atom. Its total magnetic moment is 0.0 μB/cell.

Cell lengths 6.311, 6.311, 6.311 Å; angles 90.00, 90.00, 90.00 degrees
Space group F-43m (No. 216)
One atom of each set of equivalent atoms:
Nb1 0.000 0.000 0.000 (multiplicity 4)
Re1 0.250 0.250 0.250 (multiplicity 4)
Sn1 0.000 0.000 0.500 (multiplicity 4)